(1)
First-principles (PBE) data for a relaxed structure of TbErInRu, as listed in the Alexandria database.

Summary:
Polymorph energy (0 for the lowest one): 0.000 eV per atom
Mass density: 9.687 g cm⁻³
Density of states at the Fermi level: 0.7340 states/eV/atom
Energy of formation: -0.471 eV per atom
Uncorrected energy: -5.77 eV/atom

```
data_TbErInRu
_chemical_formula_sum 'Tb1 Er1 In1 Ru1'
_space_group_name_H-M_alt 'P 1'
_space_group_IT_number 1
_cell_length_a 3.444
_cell_length_b 3.444
_cell_length_c 7.834
_cell_angle_alpha 90.00
_cell_angle_beta 90.00
_cell_angle_gamma 90.00
loop_
_space_group_symop_operation_xyz
'x,y,z'
loop_
_atom_site_label
_atom_site_type_symbol
_atom_site_fract_x
_atom_site_fract_y
_atom_site_fract_z
Tb1 Tb 0.000 0.000 0.000
Er1 Er 0.000 0.000 0.579
In1 In 0.500 0.500 0.293
Ru1 Ru 0.500 0.500 0.784
```


(2)
First-principles (PBE) data for a relaxed structure of PuU3P2, as listed in the Alexandria database.

Summary:
Mass density: 13.262 g cm⁻³
Density of states at the Fermi level: 2.6170 states/eV/atom
Energy of formation: -0.289 eV per atom
Uncorrected energy: -10.13 eV/atom

```
data_PuU3P2
_chemical_formula_sum 'Pu2 U6 P4'
_space_group_name_H-M_alt 'P 1'
_space_group_IT_number 1
_cell_length_a 7.170
_cell_length_b 7.170
_cell_length_c 7.170
_cell_angle_alpha 124.67
_cell_angle_beta 88.48
_cell_angle_gamma 117.24
loop_
_space_group_symop_operation_xyz
'x,y,z'
loop_
_atom_site_label
_atom_site_type_symbol
_atom_site_fract_x
_atom_site_fract_y
_atom_site_fract_z
Pu1 Pu 0.000 0.000 0.000
Pu2 Pu 0.500 0.500 0.000
U1 U 0.087 0.250 0.837
U2 U 0.250 0.750 0.500
U3 U 0.413 0.250 0.163
U4 U 0.587 0.750 0.837
U5 U 0.750 0.250 0.500
U6 U 0.913 0.750 0.163
P1 P 0.161 0.672 0.833
P2 P 0.339 0.172 0.512
P3 P 0.661 0.828 0.488
P4 P 0.839 0.328 0.167
```


(3)
First-principles (PBE) data for a relaxed structure of TlHgPd, as listed in the Alexandria database.

Summary:
Polymorph energy (0 for the lowest one): 0.181 eV per atom
Mass density: 11.444 g cm⁻³
Density of states at the Fermi level: 0.3511 states/eV/atom
Energy of formation: 0.041 eV per atom
Uncorrected energy: -2.58 eV/atom

```
data_TlHgPd
_chemical_formula_sum 'Tl1 Hg1 Pd1'
_space_group_name_H-M_alt 'P 1'
_space_group_IT_number 1
_cell_length_a 4.098
_cell_length_b 4.098
_cell_length_c 5.103
_cell_angle_alpha 90.00
_cell_angle_beta 90.00
_cell_angle_gamma 120.00
loop_
_space_group_symop_operation_xyz
'x,y,z'
loop_
_atom_site_label
_atom_site_type_symbol
_atom_site_fract_x
_atom_site_fract_y
_atom_site_fract_z
Tl1 Tl 0.000 0.000 0.000
Hg1 Hg 0.333 0.667 0.583
Pd1 Pd 0.667 0.333 0.293
```


(4)
First-principles (PBE) data for a relaxed structure of La5Nd2Y4, as listed in the Alexandria database.

Summary:
Polymorph energy (0 for the lowest one): 0.150 eV per atom
Mass density: 5.526 g cm⁻³
Density of states at the Fermi level: 1.5670 states/eV/atom
Energy of formation: 0.171 eV per atom
Uncorrected energy: -5.29 eV/atom

```
data_La5Nd2Y4
_chemical_formula_sum 'La5 Nd2 Y4'
_space_group_name_H-M_alt 'P 1'
_space_group_IT_number 1
_cell_length_a 12.964
_cell_length_b 12.964
_cell_length_c 12.964
_cell_angle_alpha 164.07
_cell_angle_beta 137.65
_cell_angle_gamma 45.52
loop_
_space_group_symop_operation_xyz
'x,y,z'
loop_
_atom_site_label
_atom_site_type_symbol
_atom_site_fract_x
_atom_site_fract_y
_atom_site_fract_z
La1 La 0.000 0.000 0.000
La2 La 0.052 0.355 0.698
La3 La 0.343 0.645 0.698
La4 La 0.657 0.355 0.302
La5 La 0.948 0.645 0.302
Nd1 Nd 0.268 0.768 0.500
Nd2 Nd 0.732 0.232 0.500
Y1 Y 0.316 0.500 0.816
Y2 Y 0.403 0.903 0.500
Y3 Y 0.597 0.097 0.500
Y4 Y 0.684 0.500 0.184
```


(5)
First-principles (PBE) data for a relaxed structure of CeDy7Y3, as listed in the Alexandria database.

Summary:
Mass density: 6.948 g cm⁻³
Density of states at the Fermi level: 1.8614 states/eV/atom
Energy of formation: 0.207 eV per atom
Uncorrected energy: -5.02 eV/atom

```
data_CeDy7Y3
_chemical_formula_sum 'Ce1 Dy7 Y3'
_space_group_name_H-M_alt 'P 1'
_space_group_IT_number 1
_cell_length_a 7.032
_cell_length_b 7.032
_cell_length_c 8.620
_cell_angle_alpha 90.00
_cell_angle_beta 90.00
_cell_angle_gamma 120.00
loop_
_space_group_symop_operation_xyz
'x,y,z'
loop_
_atom_site_label
_atom_site_type_symbol
_atom_site_fract_x
_atom_site_fract_y
_atom_site_fract_z
Ce1 Ce 0.000 0.000 0.000
Dy1 Dy 0.002 0.501 0.997
Dy2 Dy 0.328 0.164 0.326
Dy3 Dy 0.333 0.667 0.327
Dy4 Dy 0.499 0.501 0.997
Dy5 Dy 0.499 0.998 0.997
Dy6 Dy 0.836 0.164 0.326
Dy7 Dy 0.836 0.672 0.326
Y1 Y 0.166 0.331 0.664
Y2 Y 0.166 0.834 0.664
Y3 Y 0.669 0.834 0.664
```


(6)
First-principles (PBE) data for a relaxed structure of LaNpPd4, as listed in the Alexandria database.

Summary:
Mass density: 11.263 g cm⁻³
Density of states at the Fermi level: 2.5856 states/eV/atom
Energy of formation: -0.513 eV per atom
Uncorrected energy: -6.95 eV/atom

```
data_LaNpPd4
_chemical_formula_sum 'La1 Np1 Pd4'
_space_group_name_H-M_alt 'P 1'
_space_group_IT_number 1
_cell_length_a 5.508
_cell_length_b 5.508
_cell_length_c 5.508
_cell_angle_alpha 60.00
_cell_angle_beta 60.00
_cell_angle_gamma 60.00
loop_
_space_group_symop_operation_xyz
'x,y,z'
loop_
_atom_site_label
_atom_site_type_symbol
_atom_site_fract_x
_atom_site_fract_y
_atom_site_fract_z
La1 La 0.000 0.000 0.000
Np1 Np 0.250 0.250 0.250
Pd1 Pd 0.127 0.624 0.624
Pd2 Pd 0.624 0.127 0.624
Pd3 Pd 0.624 0.624 0.127
Pd4 Pd 0.624 0.624 0.624
```


(7)
First-principles (PBE) data for a relaxed structure of Dy4Ho15Th, as listed in the Alexandria database.

Summary:
Mass density: 8.944 g cm⁻³
Density of states at the Fermi level: 1.3451 states/eV/atom
Energy of formation: 0.023 eV per atom
Uncorrected energy: -4.70 eV/atom

```
data_Dy4Ho15Th
_chemical_formula_sum 'Dy4 Ho15 Th1'
_space_group_name_H-M_alt 'P 1'
_space_group_IT_number 1
_cell_length_a 5.002
_cell_length_b 5.002
_cell_length_c 24.899
_cell_angle_alpha 90.00
_cell_angle_beta 90.00
_cell_angle_gamma 90.00
loop_
_space_group_symop_operation_xyz
'x,y,z'
loop_
_atom_site_label
_atom_site_type_symbol
_atom_site_fract_x
_atom_site_fract_y
_atom_site_fract_z
Dy1 Dy 0.000 0.000 0.100
Dy2 Dy 0.000 0.000 0.300
Dy3 Dy 0.000 0.000 0.700
Dy4 Dy 0.000 0.000 0.900
Ho1 Ho 0.000 0.500 0.000
Ho2 Ho 0.000 0.500 0.200
Ho3 Ho 0.000 0.500 0.401
Ho4 Ho 0.000 0.500 0.599
Ho5 Ho 0.000 0.500 0.800
Ho6 Ho 0.500 0.000 0.000
Ho7 Ho 0.500 0.000 0.200
Ho8 Ho 0.500 0.000 0.401
Ho9 Ho 0.500 0.000 0.599
Ho10 Ho 0.500 0.000 0.800
Ho11 Ho 0.500 0.500 0.100
Ho12 Ho 0.500 0.500 0.299
Ho13 Ho 0.500 0.500 0.500
Ho14 Ho 0.500 0.500 0.701
Ho15 Ho 0.500 0.500 0.900
Th1 Th 0.000 0.000 0.500
```


(8)
First-principles (PBE) data for a relaxed structure of V4Mo5W, as listed in the Alexandria database.

Summary:
Mass density: 9.707 g cm⁻³
Density of states at the Fermi level: 0.6402 states/eV/atom
Energy of formation: -0.124 eV per atom
Uncorrected energy: -10.48 eV/atom

```
data_V4Mo5W
_chemical_formula_sum 'V4 Mo5 W1'
_space_group_name_H-M_alt 'P 1'
_space_group_IT_number 1
_cell_length_a 3.099
_cell_length_b 3.099
_cell_length_c 15.447
_cell_angle_alpha 90.00
_cell_angle_beta 90.00
_cell_angle_gamma 90.00
loop_
_space_group_symop_operation_xyz
'x,y,z'
loop_
_atom_site_label
_atom_site_type_symbol
_atom_site_fract_x
_atom_site_fract_y
_atom_site_fract_z
V1 V 0.000 0.000 0.099
V2 V 0.000 0.000 0.296
V3 V 0.000 0.000 0.704
V4 V 0.000 0.000 0.901
Mo1 Mo 0.500 0.500 0.000
Mo2 Mo 0.500 0.500 0.198
Mo3 Mo 0.500 0.500 0.396
Mo4 Mo 0.500 0.500 0.604
Mo5 Mo 0.500 0.500 0.802
W1 W 0.000 0.000 0.500
```


(9)
First-principles (PBE) data for a relaxed structure of NaYP2, as listed in the Alexandria database.

Summary:
Polymorph energy (0 for the lowest one): 0.074 eV per atom
Mass density: 3.411 g cm⁻³
Density of states at the Fermi level: 0.0769 states/eV/atom
Energy of formation: -0.443 eV per atom
Uncorrected energy: -5.09 eV/atom

```
data_NaYP2
_chemical_formula_sum 'Na2 Y2 P4'
_space_group_name_H-M_alt 'P 1'
_space_group_IT_number 1
_cell_length_a 6.105
_cell_length_b 6.105
_cell_length_c 6.105
_cell_angle_alpha 103.82
_cell_angle_beta 103.82
_cell_angle_gamma 121.49
loop_
_space_group_symop_operation_xyz
'x,y,z'
loop_
_atom_site_label
_atom_site_type_symbol
_atom_site_fract_x
_atom_site_fract_y
_atom_site_fract_z
Na1 Na 0.000 0.000 0.000
Na2 Na 0.750 0.250 0.500
Y1 Y 0.250 0.750 0.500
Y2 Y 0.500 0.500 0.000
P1 P 0.123 0.625 0.998
P2 P 0.375 0.373 0.498
P3 P 0.627 0.125 0.002
P4 P 0.875 0.877 0.502
```


(10)
First-principles (PBE) data for a relaxed structure of Nb2CoTe5, as listed in the Alexandria database.

Summary:
Mass density: 6.571 g cm⁻³
Density of states at the Fermi level: 0.7600 states/eV/atom
ΔE_f (raw): -0.105 eV/atom
Uncorrected energy: -5.47 eV/atom

```
data_Nb2CoTe5
_chemical_formula_sum 'Nb4 Co2 Te10'
_space_group_name_H-M_alt 'P 1'
_space_group_IT_number 1
_cell_length_a 6.861
_cell_length_b 6.861
_cell_length_c 13.171
_cell_angle_alpha 90.00
_cell_angle_beta 90.00
_cell_angle_gamma 133.97
loop_
_space_group_symop_operation_xyz
'x,y,z'
loop_
_atom_site_label
_atom_site_type_symbol
_atom_site_fract_x
_atom_site_fract_y
_atom_site_fract_z
Nb1 Nb 0.180 0.820 0.546
Nb2 Nb 0.180 0.820 0.954
Nb3 Nb 0.820 0.180 0.046
Nb4 Nb 0.820 0.180 0.454
Co1 Co 0.182 0.818 0.250
Co2 Co 0.818 0.182 0.750
Te1 Te 0.044 0.956 0.113
Te2 Te 0.044 0.956 0.387
Te3 Te 0.274 0.726 0.750
Te4 Te 0.329 0.671 0.108
Te5 Te 0.329 0.671 0.392
Te6 Te 0.671 0.329 0.608
Te7 Te 0.671 0.329 0.892
Te8 Te 0.726 0.274 0.250
Te9 Te 0.956 0.044 0.613
Te10 Te 0.956 0.044 0.887
```


The lowest mass density belongs to which entry? NaYP2


Which formula does entry 2 have? PuU3P2


Among the records above, which one has the highest uncorrected energy? TlHgPd